(1)
16
Lattice="4.0463 0.0000 0.0000 -2.0231 6.8111 0.0000 0.0000 0.0000 13.8609" Properties=species:S:1:pos:R:3 comment="BaSm2CuS4, relaxed, DFT PBE" sg="No. 63" pbc="T T T"
Sm 0.0000 5.0513 13.0730
Sm 2.0231 1.7599 0.7879
Sm 2.0231 1.7599 6.1425
Sm 0.0000 5.0513 7.7184
S 0.0000 0.0000 6.9304
S 0.0000 5.8929 10.3957
S 0.0000 3.6377 5.2950
S 0.0000 3.6377 1.6354
S 2.0231 0.9182 3.4652
S 0.0000 0.0000 0.0000
S 2.0231 3.1734 8.5658
S 2.0231 3.1734 12.2255
Ba 0.0000 1.5253 10.3957
Ba 2.0231 5.2859 3.4652
Cu 2.0231 4.6580 10.3957
Cu 0.0000 2.1531 3.4652

=====

(2)
9
Lattice="4.0048 0.0000 0.0000 0.0000 7.3918 0.1913 -2.0024 -2.7514 6.9460" Properties=species:S:1:pos:R:3 comment="Ba2SmCu2S4, relaxed, DFT PBE" sg="No. 12" pbc="T T T"
Ba 0.0000 3.4526 1.9795
Ba 2.0024 1.1878 5.1577
Sm 0.0000 0.0000 0.0000
Cu 0.0000 -1.7148 4.4498
Cu 2.0024 6.3552 2.6875
S 0.0000 0.2396 2.8448
S 2.0024 4.4008 4.2925
S 2.0024 5.4243 0.5067
S 0.0000 -0.7839 6.6306

=====

The evaluated energy relative to the elements, uncorrected for the records listed, in turn: -14.1, -12.3 eV/f.u..